1.
Material: PuHgSbPb
Method: DFT, PBE
State: optimized geometry

Polymorph energy (0 for the lowest one)   112.7 meV per atom
Symmetry   F-43m (216)
Formation energy from raw total energies   -0.7 eV per formula unit

The structure in CIF format:
```
data_PuHgSbPb
_symmetry_space_group_name_H-M 'P 1'
_symmetry_Int_Tables_number 1
_cell_length_a 5.413
_cell_length_b 5.413
_cell_length_c 5.413
_cell_angle_alpha 60.00
_cell_angle_beta 60.00
_cell_angle_gamma 60.00
loop_
_symmetry_equiv_pos_as_xyz
'x,y,z'
loop_
_atom_site_label
_atom_site_fract_x
_atom_site_fract_y
_atom_site_fract_z
Pu1 0.000 0.000 0.000
Hg1 0.250 0.250 0.250
Sb1 0.750 0.750 0.750
Pb1 0.500 0.500 0.500
```



2.
Material: SmPuHgPb
Method: DFT, PBE
State: optimized geometry

E_form   -0.298 eV per atom
Symmetry   F-43m (216)

The structure in CIF format:
```
data_SmPuHgPb
_symmetry_space_group_name_H-M 'P 1'
_symmetry_Int_Tables_number 1
_cell_length_a 5.428
_cell_length_b 5.428
_cell_length_c 5.428
_cell_angle_alpha 60.00
_cell_angle_beta 60.00
_cell_angle_gamma 60.00
loop_
_symmetry_equiv_pos_as_xyz
'x,y,z'
loop_
_atom_site_label
_atom_site_fract_x
_atom_site_fract_y
_atom_site_fract_z
Sm1 0.000 0.000 0.000
Pu1 0.500 0.500 0.500
Hg1 0.250 0.250 0.250
Pb1 0.750 0.750 0.750
```



3.
Material: PuSnHgPb
Method: DFT, PBE
State: optimized geometry

Polymorph energy (0 for the lowest one)   128.4 meV per atom
E_form   -0.085 eV per atom
Symmetry   F-43m (216)

The structure in CIF format:
```
data_PuSnHgPb
_symmetry_space_group_name_H-M 'P 1'
_symmetry_Int_Tables_number 1
_cell_length_a 5.406
_cell_length_b 5.406
_cell_length_c 5.406
_cell_angle_alpha 60.00
_cell_angle_beta 60.00
_cell_angle_gamma 60.00
loop_
_symmetry_equiv_pos_as_xyz
'x,y,z'
loop_
_atom_site_label
_atom_site_fract_x
_atom_site_fract_y
_atom_site_fract_z
Pu1 0.000 0.000 0.000
Sn1 0.250 0.250 0.250
Hg1 0.750 0.750 0.750
Pb1 0.500 0.500 0.500
```



4.
Material: PuSnHgPb
Method: DFT, PBE
State: optimized geometry

Polymorph energy (0 for the lowest one)   0.0 meV per atom
E_form   -0.214 eV per atom
Symmetry   Pmmm (47)

The structure in CIF format:
```
data_PuSnHgPb
_symmetry_space_group_name_H-M 'P 1'
_symmetry_Int_Tables_number 1
_cell_length_a 4.544
_cell_length_b 4.750
_cell_length_c 4.835
_cell_angle_alpha 90.00
_cell_angle_beta 90.00
_cell_angle_gamma 90.00
loop_
_symmetry_equiv_pos_as_xyz
'x,y,z'
loop_
_atom_site_label
_atom_site_fract_x
_atom_site_fract_y
_atom_site_fract_z
Pu1 0.000 0.000 0.000
Sn1 0.500 0.500 0.000
Hg1 0.000 0.500 0.500
Pb1 0.500 0.000 0.500
```



5.
Material: SrPuHgPb
Method: DFT, PBE
State: optimized geometry

E_form   -0.298 eV per atom
Symmetry   F-43m (216)

The structure in CIF format:
```
data_SrPuHgPb
_symmetry_space_group_name_H-M 'P 1'
_symmetry_Int_Tables_number 1
_cell_length_a 5.592
_cell_length_b 5.592
_cell_length_c 5.592
_cell_angle_alpha 60.00
_cell_angle_beta 60.00
_cell_angle_gamma 60.00
loop_
_symmetry_equiv_pos_as_xyz
'x,y,z'
loop_
_atom_site_label
_atom_site_fract_x
_atom_site_fract_y
_atom_site_fract_z
Sr1 0.000 0.000 0.000
Pu1 0.500 0.500 0.500
Hg1 0.750 0.750 0.750
Pb1 0.250 0.250 0.250
```



6.
Material: PuThHgPb
Method: DFT, PBE
State: optimized geometry

Polymorph energy (0 for the lowest one)   0.0 meV per atom
E_form   -0.140 eV per atom
Symmetry   P4mm (99)

The structure in CIF format:
```
data_PuThHgPb
_symmetry_space_group_name_H-M 'P 1'
_symmetry_Int_Tables_number 1
_cell_length_a 4.118
_cell_length_b 4.118
_cell_length_c 6.657
_cell_angle_alpha 90.00
_cell_angle_beta 90.00
_cell_angle_gamma 90.00
loop_
_symmetry_equiv_pos_as_xyz
'x,y,z'
loop_
_atom_site_label
_atom_site_fract_x
_atom_site_fract_y
_atom_site_fract_z
Pu1 0.000 0.000 0.000
Th1 0.000 0.000 0.504
Hg1 0.500 0.500 0.248
Pb1 0.500 0.500 0.754
```



7.
Material: PuThHgPb
Method: DFT, PBE
State: optimized geometry

Polymorph energy (0 for the lowest one)   5.3 meV per atom
E_form   -0.135 eV per atom
Symmetry   F-43m (216)

The structure in CIF format:
```
data_PuThHgPb
_symmetry_space_group_name_H-M 'P 1'
_symmetry_Int_Tables_number 1
_cell_length_a 5.455
_cell_length_b 5.455
_cell_length_c 5.455
_cell_angle_alpha 60.00
_cell_angle_beta 60.00
_cell_angle_gamma 60.00
loop_
_symmetry_equiv_pos_as_xyz
'x,y,z'
loop_
_atom_site_label
_atom_site_fract_x
_atom_site_fract_y
_atom_site_fract_z
Pu1 0.000 0.000 0.000
Th1 0.500 0.500 0.500
Hg1 0.750 0.750 0.750
Pb1 0.250 0.250 0.250
```



8.
Material: PuTlHgPb
Method: DFT, PBE
State: optimized geometry

Polymorph energy (0 for the lowest one)   96.4 meV per atom
E_form   -0.008 eV per atom
Symmetry   F-43m (216)

The structure in CIF format:
```
data_PuTlHgPb
_symmetry_space_group_name_H-M 'P 1'
_symmetry_Int_Tables_number 1
_cell_length_a 5.413
_cell_length_b 5.413
_cell_length_c 5.413
_cell_angle_alpha 60.00
_cell_angle_beta 60.00
_cell_angle_gamma 60.00
loop_
_symmetry_equiv_pos_as_xyz
'x,y,z'
loop_
_atom_site_label
_atom_site_fract_x
_atom_site_fract_y
_atom_site_fract_z
Pu1 0.000 0.000 0.000
Tl1 0.500 0.500 0.500
Hg1 0.250 0.250 0.250
Pb1 0.750 0.750 0.750
```